The following is a PBE calculation of an optimized crystal structure of ThAl2Pt4, from Alexandria via LeMat-Bulk.

Cell and atoms, written as POSCAR:
```
ThAl2Pt4
1.0
4.3737 0.0000 0.0000
0.0000 6.7468 0.0000
0.0000 0.0000 17.2817
Pt Al Th
16 8 4
Direct
0.7500 0.7566 0.8001
0.7500 0.9539 0.0665
0.2500 0.4539 0.4335
0.7500 0.1822 0.8143
0.2500 0.1149 0.5340
0.7500 0.8851 0.4660
0.2500 0.0461 0.9335
0.2500 0.6822 0.6857
0.7500 0.7434 0.3001
0.2500 0.2434 0.1999
0.2500 0.8178 0.1857
0.2500 0.3851 0.0340
0.7500 0.3178 0.3143
0.7500 0.6149 0.9660
0.7500 0.5461 0.5665
0.2500 0.2566 0.6999
0.2500 0.9651 0.7921
0.7500 0.2716 0.4668
0.7500 0.0349 0.2079
0.2500 0.7284 0.5332
0.2500 0.5349 0.2921
0.2500 0.7716 0.0332
0.7500 0.4651 0.7079
0.7500 0.2284 0.9668
0.2500 0.0142 0.3587
0.7500 0.5142 0.1413
0.7500 0.9858 0.6413
0.2500 0.4858 0.8587
```

Calculated values
The value obtained for the total energy is -6.587 eV per atom. For the size of the total moment, the calculation gives 0.00 μB per formula unit. As for the theoretical density: 13.89 g/cm3. As for the space group: Pnma, No. 62.